# 1
Entry from the Alexandria database: a geometry-optimized AlTc2P structure (PBE).

```
4
Lattice="-2.845 0.031 0.595 -1.937 -0.299 -2.147 -1.478 -7.729 0.442" Properties=species:S:1:pos:R:3 pbc="T T T"
Al -3.131 -3.993 -0.556
Tc -1.505 -5.972 0.221
Tc -1.568 -1.845 -0.297
P -3.188 -0.184 -1.034
```

## Properties
SG: R3m (160)
Total DFT energy (no corrections), eV/cell: -31.16
Polymorph energy (0 for the lowest one), meV per atom: 68
Energy of formation from the pure elements, eV per atom: -0.32
Magnetization, μB per cell: 0.00

# 2
Entry from the Alexandria database: a geometry-optimized Nd3Ga8Cu3 structure (PBE).

```
14
Lattice="-1.339 2.570 3.224 -7.463 -2.943 2.161 0.800 -4.517 6.848" Properties=species:S:1:pos:R:3 pbc="T T T"
Nd -4.960 -4.390 7.270
Nd -3.043 -0.500 4.964
Nd 0.000 0.000 0.000
Ga -0.758 -2.639 4.704
Ga -7.245 -2.251 7.530
Ga -3.577 -2.991 9.643
Ga -4.425 -1.899 2.591
Ga -5.654 -2.126 5.176
Ga -2.348 -2.764 7.057
Ga -0.549 -0.469 3.061
Ga -7.453 -4.420 9.173
Cu -3.332 -3.730 4.505
Cu -5.323 -4.825 10.380
Cu -2.679 -0.065 1.854
```

## Properties
SG: C2/m (12)
Total DFT energy (no corrections), eV/cell: -57.27
Polymorph energy (0 for the lowest one), meV per atom: 18
Energy of formation from the pure elements, eV per atom: -0.46
Magnetization, μB per cell: 0.00

# 3
Entry from the Alexandria database: a geometry-optimized CrP2Ir structure (PBE).

```
4
Lattice="3.984 -0.003 0.000 2.976 2.649 0.000 1.107 0.421 4.828" Properties=species:S:1:pos:R:3 pbc="T T T"
Cr 6.051 2.300 3.621
Ir 2.017 0.767 1.207
P 1.090 0.414 4.665
P 4.051 1.540 2.577
```

## Properties
SG: C2/m (12)
Total DFT energy (no corrections), eV/cell: -29.90
Polymorph energy (0 for the lowest one), meV per atom: 183
Energy of formation from the pure elements, eV per atom: -0.15
Magnetization, μB per cell: 0.00

# 4
Entry from the Alexandria database: a geometry-optimized CaYTm4Se8 structure (PBE).

```
14
Lattice="-4.424 5.632 -4.334 1.298 0.915 -8.219 -5.828 -2.565 -5.469" Properties=species:S:1:pos:R:3 pbc="T T T"
Ca -6.281 0.202 -9.495
Y -5.798 -2.535 -5.461
Tm -2.678 3.776 -8.528
Tm -2.296 -0.825 -6.813
Tm -5.108 1.494 -4.903
Tm -2.933 -1.275 -2.772
Se -4.343 0.191 -11.486
Se -7.424 2.732 -9.394
Se -5.042 -0.301 -7.060
Se -2.394 0.841 -4.547
Se -4.568 3.793 -6.577
Se -1.551 1.305 -8.626
Se -3.884 4.275 -10.911
Se -6.600 3.101 -13.486
```

## Properties
SG: R3m (160)
Total DFT energy (no corrections), eV/cell: -79.17
Magnetization, μB per cell: 0.00
Raw formation energy, eV/atom: -1.78

# 5
Entry from the Alexandria database: a geometry-optimized Mg2NiOs structure (PBE).

```
4
Lattice="-0.326 2.066 -1.886 1.765 -1.321 -1.752 -6.203 -3.959 -3.265" Properties=species:S:1:pos:R:3 pbc="T T T"
Mg -5.988 -3.822 -3.151
Mg -1.108 -0.794 -2.781
Ni -3.246 -2.072 -1.708
Os -3.727 -2.465 -4.159
```

## Properties
SG: P4mm (99)
Total DFT energy (no corrections), eV/cell: -19.71
Polymorph energy (0 for the lowest one), meV per atom: 74
Energy of formation from the pure elements, eV per atom: 0.12
Magnetization, μB per cell: 0.00

# 6
Entry from the Alexandria database: a geometry-optimized Pr2Be4Si3Os structure (PBE).

```
10
Lattice="-2.160 -0.355 -3.235 -0.815 -3.700 0.950 -8.138 3.099 5.094" Properties=species:S:1:pos:R:3 pbc="T T T"
Pr -3.069 0.580 -0.373
Pr -6.557 0.492 4.324
Be -1.488 -2.027 -1.143
Be 0.000 0.000 0.000
Be -6.190 1.769 1.582
Be -3.435 -0.697 2.370
Si -4.069 1.550 2.547
Si -8.183 2.528 2.829
Si -1.443 -1.456 1.123
Os -5.557 -0.478 1.404
```

## Properties
SG: P-4m2 (115)
Total DFT energy (no corrections), eV/cell: -55.53
Magnetization, μB per cell: 0.00
Raw formation energy, eV/atom: -0.36

# 7
Entry from the Alexandria database: a geometry-optimized NbTlTc2 structure (PBE).

```
4
Lattice="2.569 -3.451 1.612 -1.014 -1.923 4.047 -1.712 -4.261 0.154" Properties=species:S:1:pos:R:3 pbc="T T T"
Tl -0.078 -4.818 2.907
Tc -0.039 -2.409 1.453
Tc -0.118 -7.226 4.360
Nb 0.000 0.000 0.000
```

## Properties
SG: Fm-3m (225)
Total DFT energy (no corrections), eV/cell: -31.92
Polymorph energy (0 for the lowest one), meV per atom: 0
Energy of formation from the pure elements, eV per atom: 0.31
Magnetization, μB per cell: 0.00

# 8
Entry from the Alexandria database: a geometry-optimized Na3ScCu structure (PBE).

```
5
Lattice="6.188 0.000 0.000 0.000 6.188 0.000 0.000 0.000 6.188" Properties=species:S:1:pos:R:3 pbc="T T T"
Sc 0.000 0.000 0.000
Na 0.000 3.094 0.000
Na 0.000 0.000 3.094
Na 3.094 0.000 0.000
Cu 3.094 3.094 3.094
```

## Properties
SG: Pm-3m (221)
Total DFT energy (no corrections), eV/cell: -8.27
Polymorph energy (0 for the lowest one), meV per atom: 578
Energy of formation from the pure elements, eV per atom: 1.22
Magnetization, μB per cell: 1.88

# 9
Entry from the Alexandria database: a geometry-optimized Er8Ir2Rh structure (PBE).

```
11
Lattice="-1.611 2.231 5.120 -6.245 -3.655 -1.865 5.424 -4.630 2.231" Properties=species:S:1:pos:R:3 pbc="T T T"
Er -2.618 -0.311 2.528
Er 0.399 -0.563 3.587
Er -0.578 -2.615 1.023
Er 1.303 -2.222 6.410
Er -5.313 -1.669 4.088
Er -1.820 -3.513 4.349
Er -2.787 -5.632 1.741
Er 0.231 -5.884 2.801
Ir -3.401 -2.913 1.926
Ir 0.991 -3.280 3.467
Rh -1.023 -8.003 1.010
```

## Properties
SG: Cm (8)
Total DFT energy (no corrections), eV/cell: -67.24
Polymorph energy (0 for the lowest one), meV per atom: 59
Energy of formation from the pure elements, eV per atom: -0.51
Magnetization, μB per cell: 0.00

# 10
Entry from the Alexandria database: a geometry-optimized Pm7Pr2Y structure (PBE).

```
10
Lattice="-1.922 -0.678 2.858 2.220 -14.834 -2.023 3.421 13.663 5.540" Properties=species:S:1:pos:R:3 pbc="T T T"
Pm 2.446 -9.483 -0.603
Pm 3.196 8.312 4.119
Pm 0.535 2.172 3.031
Pm 3.184 -4.021 3.344
Pm 0.299 -3.422 1.546
Pm 3.420 1.574 4.829
Pm 1.860 -0.924 3.187
Pr 1.614 -6.758 1.639
Pr 2.105 4.909 4.736
Y 0.000 0.000 0.000
```

## Properties
SG: Cmmm (65)
Total DFT energy (no corrections), eV/cell: -47.84
Polymorph energy (0 for the lowest one), meV per atom: 0
Energy of formation from the pure elements, eV per atom: 0.14
Magnetization, μB per cell: 0.00

# 11
Entry from the Alexandria database: a geometry-optimized KHfHgB2 structure (PBE).

```
5
Lattice="-0.735 4.131 1.970 -4.889 -1.944 2.254 2.296 -1.393 3.778" Properties=species:S:1:pos:R:3 pbc="T T T"
K -1.664 0.397 4.001
B 1.148 -0.697 1.889
B -0.367 2.066 0.985
Hf 0.000 0.000 0.000
Hg -2.445 -0.972 1.127
```

## Properties
SG: P4/mmm (123)
Total DFT energy (no corrections), eV/cell: -19.59
Energy of formation from the pure elements, eV per atom: 1.02
Magnetization, μB per cell: 0.20

Repeat the fourth record exactly.
Entry from the Alexandria database: a geometry-optimized CaYTm4Se8 structure (PBE).

```
14
Lattice="-4.424 5.632 -4.334 1.298 0.915 -8.219 -5.828 -2.565 -5.469" Properties=species:S:1:pos:R:3 pbc="T T T"
Ca -6.281 0.202 -9.495
Y -5.798 -2.535 -5.461
Tm -2.678 3.776 -8.528
Tm -2.296 -0.825 -6.813
Tm -5.108 1.494 -4.903
Tm -2.933 -1.275 -2.772
Se -4.343 0.191 -11.486
Se -7.424 2.732 -9.394
Se -5.042 -0.301 -7.060
Se -2.394 0.841 -4.547
Se -4.568 3.793 -6.577
Se -1.551 1.305 -8.626
Se -3.884 4.275 -10.911
Se -6.600 3.101 -13.486
```

## Properties
SG: R3m (160)
Total DFT energy (no corrections), eV/cell: -79.17
Magnetization, μB per cell: 0.00
Raw formation energy, eV/atom: -1.78